Material: Ca2Cr2Fe
Method: DFT, PBE-GGA
State: relaxed

Unit cell a=7.390 b=7.390 c=7.390 alpha=145.26 beta=145.26 gamma=49.94
Last column: magnetic moment on the atom in μB.
Element x y z (fractional)
Ca 0.250 0.750 0.500  0.09
Ca 0.750 0.250 0.500  0.09
Cr 0.594 0.594 0.000  3.80
Cr 0.406 0.406 0.000  3.80
Fe 0.000 0.000 0.000  3.25

Properties
Its crystal system is tetragonal. The calculation puts the magnetization at 12.16 μB per formula unit. For the formation energy from the elements, the calculation gives 1.44 eV/atom.